[1]
{"formula": "ZrC3", "functional": "SCAN", "state": "single point on PBEsol structure", "de_polymorph_ev_per_atom": 0.885, "ef_mev_per_atom": 1469.7, "dos_at_fermi_per_ev_cell": 1.0, "space_group": "P4/mmm", "lattice_angstrom": [[-0.6881, 0.5441, 2.7800], [-0.1634, -2.8637, 0.5200], [4.3184, -0.0505, 1.0788]], "species": ["C", "C", "Zr", "C"], "frac_coords": [[0.0000, 0.0000, 0.8396], [0.0000, 0.0000, 0.1604], [0.5000, 0.5000, 0.5000], [0.5000, 0.5000, 0.0000]]}

---

[2]
{"formula": "CaLaSc2", "functional": "SCAN", "state": "single point on PBEsol structure", "de_polymorph_ev_per_atom": 0.000, "ef_mev_per_atom": 196.0, "dos_at_fermi_per_ev_cell": 5.5, "space_group": "F-43m", "lattice_angstrom": [[-0.6705, -1.1182, -5.3436], [2.5554, -4.3213, -2.2473], [-2.8991, -4.4120, -1.5439]], "species": ["Ca", "Sc", "Sc", "La"], "frac_coords": [[0.5000, 0.5000, 0.5000], [0.7500, 0.7500, 0.7500], [0.0000, 0.0000, 0.0000], [0.2500, 0.2500, 0.2500]]}

---

[3]
{"formula": "MnV2O6", "functional": "SCAN", "state": "single point on PBEsol structure", "e_form_raw_ev_per_atom": -2.49, "space_group": "C2/c", "lattice_angstrom": [[-4.4192, 0.9703, 3.6063], [-1.2386, -5.9039, 2.9324], [2.8111, 1.5520, 5.8888]], "species": ["O", "Mn", "O", "V", "O", "O", "O", "O", "O", "O", "O", "O", "V", "V", "O", "Mn", "V", "O"], "frac_coords": [[0.2298, 0.0865, 0.6214], [0.7500, 0.9149, 0.0851], [0.2702, 0.3786, 0.9135], [0.2487, 0.2071, 0.3897], [0.3643, 0.0379, 0.1918], [0.8643, 0.1918, 0.0379], [0.6357, 0.9621, 0.8082], [0.7702, 0.9135, 0.3786], [0.7298, 0.6214, 0.0865], [0.9513, 0.3503, 0.3712], [0.4513, 0.3712, 0.3503], [0.5487, 0.6288, 0.6497], [0.2513, 0.6103, 0.7929], [0.7513, 0.7929, 0.6103], [0.1357, 0.8082, 0.9621], [0.2500, 0.0851, 0.9149], [0.7487, 0.3897, 0.2071], [0.0487, 0.6497, 0.6288]]}

---

[4]
{"formula": "Ba2TlRh", "functional": "SCAN", "state": "single point on PBEsol structure", "de_polymorph_ev_per_atom": 0.000, "ef_mev_per_atom": -326.1, "dos_at_fermi_per_ev_cell": 1.7, "space_group": "Amm2", "lattice_angstrom": [[-0.1360, -0.7643, 4.6765], [4.6763, 0.0219, 0.1396], [0.0110, 6.3518, -1.3651]], "species": ["Tl", "Rh", "Ba", "Ba"], "frac_coords": [[0.4344, 0.5000, 0.7436], [0.3183, 0.0000, 0.5120], [0.0149, 0.0000, 0.9046], [0.7324, 0.5000, 0.3398]]}

---

[5]
{"formula": "YTaTl2", "functional": "SCAN", "state": "single point on PBEsol structure", "ef_mev_per_atom": 81.8, "dos_at_fermi_per_ev_cell": 1.3, "space_group": "P4/mmm", "lattice_angstrom": [[-0.0691, -2.4917, -1.9436], [1.9970, 1.4723, -1.9585], [6.8259, -3.5416, 4.2976]], "species": ["Ta", "Y", "Tl", "Tl"], "frac_coords": [[0.5000, 0.5000, 0.5000], [0.5000, 0.5000, 0.0000], [0.0000, 0.0000, 0.7358], [0.0000, 0.0000, 0.2642]]}

---

[6]
{"formula": "Ba3Nb2NiO9", "functional": "SCAN", "state": "single point on PBEsol structure", "e_form_raw_ev_per_atom": -2.89, "dos_at_fermi_per_ev_cell": 0.0, "space_group": "P-3m1", "lattice_angstrom": [[-0.6111, 3.6541, -4.3955], [2.2303, -5.2226, -0.8927], [-6.4718, -2.5546, -1.2239]], "species": ["O", "Nb", "O", "Ba", "O", "Nb", "O", "O", "O", "Ni", "O", "O", "Ba", "O", "Ba"], "frac_coords": [[0.5000, 0.5000, 0.0000], [0.3333, 0.6667, 0.8201], [0.5000, 0.0000, 0.0000], [0.3333, 0.6667, 0.3361], [0.8312, 0.6625, 0.3290], [0.6667, 0.3333, 0.1799], [0.6625, 0.8312, 0.6710], [0.8312, 0.1688, 0.3290], [0.1688, 0.3375, 0.6710], [0.0000, 0.0000, 0.5000], [0.0000, 0.5000, 0.0000], [0.3375, 0.1688, 0.3290], [0.0000, 0.0000, 0.0000], [0.1688, 0.8312, 0.6710], [0.6667, 0.3333, 0.6639]]}

---

[7]
{"formula": "LiBe4Rh", "functional": "SCAN", "state": "single point on PBEsol structure", "ef_mev_per_atom": -342.1, "dos_at_fermi_per_ev_cell": 2.2, "space_group": "F-43m", "lattice_angstrom": [[-3.1695, -1.7440, -2.2863], [-0.3252, -4.2561, -0.3078], [-3.1904, -2.0512, 1.9821]], "species": ["Be", "Be", "Li", "Rh", "Be", "Be"], "frac_coords": [[0.3743, 0.8771, 0.3743], [0.8771, 0.3743, 0.3743], [0.7500, 0.7500, 0.7500], [0.0000, 0.0000, 0.0000], [0.3743, 0.3743, 0.3743], [0.3743, 0.3743, 0.8771]]}

---

[8]
{"formula": "Te2IrW", "functional": "SCAN", "state": "single point on PBEsol structure", "e_form_raw_ev_per_atom": 0.68, "dos_at_fermi_per_ev_cell": 2.3, "space_group": "C2/m", "lattice_angstrom": [[-2.1371, -0.0822, 2.4096], [3.3765, -2.9943, 0.7387], [2.2249, 4.5702, 2.1292]], "species": ["Te", "Te", "W", "Ir"], "frac_coords": [[0.7386, 0.4772, 0.7424], [0.2614, 0.5228, 0.2576], [0.0000, 0.0000, 0.5000], [0.5000, 0.0000, 0.0000]]}

---

[9]
{"formula": "FePtC3", "functional": "SCAN", "state": "single point on PBEsol structure", "ef_mev_per_atom": 2106.1, "dos_at_fermi_per_ev_cell": 1.9, "space_group": "Pm-3m", "lattice_angstrom": [[3.6905, 0.0000, 0.0000], [0.0000, 3.6905, 0.0000], [0.0000, 0.0000, 3.6905]], "species": ["C", "Pt", "C", "Fe", "C"], "frac_coords": [[0.5000, 0.0000, 0.0000], [0.5000, 0.5000, 0.5000], [0.0000, 0.0000, 0.5000], [0.0000, 0.0000, 0.0000], [0.0000, 0.5000, 0.0000]]}

---

[10]
{"formula": "WCl5", "functional": "SCAN", "state": "single point on PBEsol structure", "e_form_raw_ev_per_atom": -0.91, "dos_at_fermi_per_ev_cell": 4.1, "space_group": "C2/m", "lattice_angstrom": [[-3.3227, 3.3247, -3.9924], [-10.7625, -5.4872, 2.8479], [-2.4006, 9.1284, 8.0598]], "species": ["Cl", "Cl", "Cl", "Cl", "Cl", "Cl", "W", "Cl", "W", "Cl", "Cl", "W", "Cl", "Cl", "W", "Cl", "Cl", "Cl", "Cl", "Cl", "Cl", "Cl", "Cl", "Cl", "Cl", "Cl", "Cl", "Cl", "Cl", "Cl", "W", "Cl", "W", "Cl", "Cl", "Cl"], "frac_coords": [[0.7547, 0.0634, 0.4461], [0.8670, 0.1116, 0.7278], [0.8342, 0.5086, 0.3146], [0.2453, 0.5539, 0.9366], [0.7050, 0.6473, 0.8400], [0.6246, 0.3960, 0.7803], [0.0000, 0.1088, 0.8912], [0.3872, 0.4078, 0.4078], [0.5649, 0.2256, 0.4420], [0.6765, 0.9782, 0.1721], [0.1330, 0.2722, 0.8884], [0.5649, 0.4420, 0.2256], [0.3754, 0.2197, 0.6040], [0.6765, 0.1721, 0.9782], [0.0000, 0.8912, 0.1088], [0.1330, 0.8884, 0.2722], [0.2950, 0.3527, 0.1600], [0.1658, 0.6854, 0.4914], [0.3754, 0.6040, 0.2197], [0.7547, 0.4461, 0.0634], [0.1247, 0.0748, 0.0748], [0.8342, 0.3146, 0.5086], [0.6246, 0.7803, 0.3960], [0.3235, 0.8279, 0.0218], [0.6128, 0.5922, 0.5922], [0.8753, 0.9252, 0.9252], [0.3235, 0.0218, 0.8279], [0.7050, 0.8400, 0.6473], [0.2453, 0.9366, 0.5539], [0.2570, 0.7400, 0.7400], [0.4351, 0.7744, 0.5580], [0.2950, 0.1600, 0.3527], [0.4351, 0.5580, 0.7744], [0.1658, 0.4914, 0.6854], [0.8670, 0.7278, 0.1116], [0.7430, 0.2600, 0.2600]]}

---

[11]
{"formula": "CoH", "functional": "SCAN", "state": "single point on PBEsol structure", "final_energy_ev_per_atom": -10.2942, "dos_at_fermi_per_ev_cell": 0.9, "space_group": "Fm-3m", "lattice_angstrom": [[2.5757, 0.0000, 0.0000], [1.2878, 2.2306, 0.0000], [1.2878, 0.7435, 2.1030]], "species": ["Co", "H"], "frac_coords": [[0.0000, 0.0000, 0.0000], [0.5000, 0.5000, 0.5000]]}

---

[12]
{"formula": "Sc2W3O12", "functional": "SCAN", "state": "single point on PBEsol structure", "e_form_raw_ev_per_atom": -2.75, "de_polymorph_ev_per_atom": 0.000, "dos_at_fermi_per_ev_cell": 0.0, "space_group": "Pbcn", "lattice_angstrom": [[9.6360, 0.0000, 0.0000], [0.0000, 9.7405, 0.0000], [0.0000, 0.0000, 13.4627]], "species": ["O", "O", "O", "W", "O", "O", "O", "O", "O", "O", "W", "Sc", "O", "W", "O", "W", "O", "O", "O", "O", "W", "O", "O", "W", "O", "O", "O", "O", "W", "O", "O", "W", "Sc", "O", "O", "O", "O", "Sc", "O", "W", "O", "Sc", "O", "W", "W", "O", "O", "O", "Sc", "O", "O", "O", "O", "O", "O", "O", "Sc", "O", "O", "O", "O", "Sc", "O", "Sc", "O", "W", "O", "O"], "frac_coords": [[0.1319, 0.6289, 0.4364], [0.5759, 0.0885, 0.3605], [0.3605, 0.2054, 0.6653], [0.1071, 0.6165, 0.1438], [0.4241, 0.5885, 0.3605], [0.4179, 0.8360, 0.0883], [0.0759, 0.0885, 0.1395], [0.6819, 0.9312, 0.5279], [0.1819, 0.9312, 0.9721], [0.8180, 0.4850, 0.7596], [0.9746, 0.2500, 0.5000], [0.2495, 0.4670, 0.3816], [0.8681, 0.3711, 0.5636], [0.5254, 0.7500, 0.0000], [0.3181, 0.0688, 0.4721], [0.4746, 0.2500, 0.0000], [0.4241, 0.9115, 0.6395], [0.9179, 0.6640, 0.5883], [0.6395, 0.7946, 0.3347], [0.0759, 0.4115, 0.8605], [0.6071, 0.6165, 0.3562], [0.0821, 0.3360, 0.4117], [0.8605, 0.2054, 0.8347], [0.3929, 0.1165, 0.3562], [0.3605, 0.2946, 0.3347], [0.4179, 0.6640, 0.9117], [0.8605, 0.2946, 0.1653], [0.5759, 0.4115, 0.6395], [0.0254, 0.7500, 0.5000], [0.9241, 0.5885, 0.1395], [0.1820, 0.9850, 0.7596], [0.8929, 0.1165, 0.1438], [0.2495, 0.0330, 0.6184], [0.1819, 0.5688, 0.0279], [0.6820, 0.5150, 0.2596], [0.1319, 0.8711, 0.5636], [0.3180, 0.0150, 0.2596], [0.2505, 0.5330, 0.8816], [0.6819, 0.5688, 0.4721], [0.8929, 0.3835, 0.8562], [0.9179, 0.8360, 0.4117], [0.7495, 0.4670, 0.1184], [0.3681, 0.3711, 0.9364], [0.1071, 0.8835, 0.8562], [0.6071, 0.8835, 0.6438], [0.1395, 0.7946, 0.1653], [0.9241, 0.9115, 0.8605], [0.6395, 0.7054, 0.6653], [0.2505, 0.9670, 0.1184], [0.6820, 0.9850, 0.7404], [0.6319, 0.8711, 0.9364], [0.1820, 0.5150, 0.2404], [0.6319, 0.6289, 0.0636], [0.8681, 0.1289, 0.4364], [0.5821, 0.1640, 0.9117], [0.1395, 0.7054, 0.8347], [0.7505, 0.9670, 0.3816], [0.8180, 0.0150, 0.2404], [0.5821, 0.3360, 0.0883], [0.3180, 0.4850, 0.7404], [0.3681, 0.1289, 0.0636], [0.7505, 0.5330, 0.6184], [0.3181, 0.4312, 0.5279], [0.7495, 0.0330, 0.8816], [0.0821, 0.1640, 0.5883], [0.3929, 0.3835, 0.6438], [0.8181, 0.0688, 0.0279], [0.8181, 0.4312, 0.9721]]}

---

Number 1: magnetic moment 0.00 μB per cell. Number 2: magnetic moment 0.00 μB per cell. Number 3: magnetic moment 10.00 μB per cell. Number 4: magnetic moment 0.00 μB per cell. Number 5: magnetic moment 0.52 μB per cell. Number 6: magnetic moment 1.94 μB per cell. Number 7: magnetic moment 0.00 μB per cell. Number 8: magnetic moment 0.00 μB per cell. Number 9: magnetic moment 0.00 μB per cell. Number 10: magnetic moment 6.01 μB per cell. Number 11: magnetic moment 1.41 μB per cell. Number 12: magnetic moment 0.00 μB per cell.